*P*
# Si2HgAs GGA-PBE relaxed
# Density of states at the Fermi level (states/eV/cell): 1.6
# Theoretical density (g/cm3): 6.7
# Total magnetization (μB per formula unit): 0.0
# Symmetry: P4/mmm (123)
data_Si2HgAs
_chemical_formula_sum 'Si2 Hg1 As1'
_cell_length_a 3.371
_cell_length_b 3.371
_cell_length_c 7.190
_cell_angle_alpha 90.00
_cell_angle_beta 90.00
_cell_angle_gamma 90.00
_space_group_name_H-M_alt 'P 1'
_space_group_IT_number 1
_space_group_name_Hall 'P 1'
loop_
_atom_site_label
_atom_site_fract_x
_atom_site_fract_y
_atom_site_fract_z
As1 0.500 0.500 0.250
Hg1 0.500 0.500 0.750
Si1 0.000 0.000 0.069
Si2 0.000 0.000 0.431

*Q*
# Si2HgAs GGA-PBE relaxed
# Density of states at the Fermi level (states/eV/cell): 2.5
# Theoretical density (g/cm3): 7.2
# Total magnetization (μB per formula unit): 0.0
# Symmetry: Pmmm (47)
data_Si2HgAs
_chemical_formula_sum 'Si2 Hg1 As1'
_cell_length_a 2.800
_cell_length_b 5.277
_cell_length_c 5.199
_cell_angle_alpha 90.00
_cell_angle_beta 90.00
_cell_angle_gamma 90.00
_space_group_name_H-M_alt 'P 1'
_space_group_IT_number 1
_space_group_name_Hall 'P 1'
loop_
_atom_site_label
_atom_site_fract_x
_atom_site_fract_y
_atom_site_fract_z
As1 0.500 0.000 0.500
Hg1 0.000 0.500 0.500
Si1 0.000 0.000 0.000
Si2 0.500 0.500 0.000

Which of them is most stable? Easy: *P*.